DFT (PBE) results for crystalline RbLaTl2Ru at its relaxed geometry.

Summary:
- space group = P4/mmm
- final energy (eV/atom) = -4.075
- volume (Å³/atom) = 32.21

Cell lengths 5.559, 5.559, 5.212 Å; angles 90.00, 90.00, 90.00 degrees
Sites, in units of the cell vectors:
Ru  0.000  0.000  0.000
Rb  0.500  0.500  0.500
La  0.000  0.000  0.500
Tl  0.000  0.500  0.000
Tl  0.500  0.000  0.000


DFT (PBE) results for crystalline RbLaEu2 at its relaxed geometry.

Summary:
- space group = P4/mmm
- final energy (eV/atom) = -6.445
- volume (Å³/atom) = 48.83

Cell lengths 3.943, 3.943, 12.563 Å; angles 90.00, 90.00, 90.00 degrees
Last column: magnetic moment on the atom in μB.
Sites, in units of the cell vectors:
La  0.500  0.500  0.000  0.17
Rb  0.500  0.500  0.500  0.01
Eu  0.000  0.000  0.792  7.00
Eu  0.000  0.000  0.208  7.00


DFT (PBE) results for crystalline TmTl3I6 at its relaxed geometry.

Summary:
- space group = P2_1/c
- final energy (eV/atom) = -3.032
- volume (Å³/atom) = 44.50

Cell lengths 8.195, 9.108, 11.955 Å; angles 90.00, 85.86, 90.00 degrees
Sites, in units of the cell vectors:
Tl  0.000  0.000  0.500
Tl  0.463  0.093  0.229
Tl  0.500  0.500  0.000
Tl  0.537  0.907  0.771
Tl  0.963  0.407  0.729
Tl  0.037  0.593  0.271
I  0.345  0.779  0.422
I  0.803  0.667  0.549
I  0.155  0.279  0.078
I  0.845  0.721  0.922
I  0.697  0.167  0.951
I  0.655  0.221  0.578
I  0.197  0.333  0.451
I  0.856  0.941  0.234
I  0.356  0.559  0.734
I  0.644  0.441  0.266
I  0.303  0.833  0.049
I  0.144  0.059  0.766
Tm  0.000  0.000  0.000
Tm  0.500  0.500  0.500


DFT (PBE) results for crystalline Sc6CrRh5 at its relaxed geometry.

Summary:
- space group = Immm
- final energy (eV/atom) = -7.839
- volume (Å³/atom) = 17.10

Cell lengths 4.580, 6.530, 7.937 Å; angles 114.29, 106.77, 90.00 degrees
Last column: magnetic moment on the atom in μB.
Sites, in units of the cell vectors:
Sc  0.500  0.257  0.000  -0.02
Sc  0.831  0.085  0.661  -0.01
Sc  0.831  0.577  0.661  -0.01
Sc  0.169  0.423  0.339  -0.01
Sc  0.500  0.743  0.000  -0.02
Sc  0.169  0.915  0.339  -0.01
Rh  0.000  0.500  0.000  0.03
Rh  0.332  0.332  0.663  -0.02
Rh  0.338  0.838  0.676  0.03
Rh  0.662  0.162  0.324  0.03
Rh  0.668  0.668  0.337  -0.02
Cr  0.000  0.000  0.000  3.12


DFT (PBE) results for crystalline TeAu4 at its relaxed geometry.

Summary:
- space group = Pm-3m
- final energy (eV/atom) = -2.546
- volume (Å³/atom) = 28.70

Cell lengths 5.235, 5.235, 5.235 Å; angles 90.00, 90.00, 90.00 degrees
Sites, in units of the cell vectors:
Te  0.500  0.500  0.500
Au  0.000  0.500  0.500
Au  0.500  0.500  0.000
Au  0.000  0.000  0.000
Au  0.500  0.000  0.500